[1]
Crystalline Ba2Zn3Pb at its relaxed geometry, computed with PBE.

Results
- Space-group type: Fmmm, No. 69
- Energy of formation from the pure elements: -285 meV/atom
- Mass density: 5.942 g/cm³
- Size of the total moment: 0.00 μB per formula unit

Lattice parameters (Å, degrees): 6.784 6.784 9.528 110.80 110.80 90.15
Fractional coordinates of all 12 atoms:
Ba  0.250  0.750  0.500
Ba  0.766  0.766  0.000
Ba  0.750  0.250  0.500
Ba  0.234  0.234  0.000
Zn  0.676  0.165  0.841
Zn  0.835  0.324  0.159
Zn  0.324  0.835  0.159
Zn  0.165  0.676  0.841
Zn  0.837  0.837  0.674
Zn  0.163  0.163  0.326
Pb  0.336  0.336  0.672
Pb  0.664  0.664  0.328


[2]
Crystalline EuLuBi at its relaxed geometry, computed with PBE.

Results
- Space-group type: I4mm, No. 107
- Energy of formation from the pure elements: -415 meV/atom
- Mass density: 9.471 g/cm³
- Size of the total moment: 8.77 μB per formula unit

Lattice parameters (Å, degrees): 4.108 4.108 6.279 109.10 109.10 90.00
Last column: magnetic moment on the atom in μB.
Fractional coordinates of all 3 atoms:
Eu  0.956  0.956  0.913  -7.10
Lu  0.260  0.260  0.520  -0.58
Bi  0.633  0.633  0.267  0.02


[3]
Crystalline NbSnO2 at its relaxed geometry, computed with PBE.

Results
- Space-group type: R-3m, No. 166
- Uncorrected formation energy: -1.558 eV per atom
- Mass density: 6.948 g/cm³
- Size of the total moment: 0.00 μB per formula unit

Lattice parameters (Å, degrees): 7.496 7.496 7.496 23.38 23.38 23.38
Fractional coordinates of all 4 atoms:
Nb  0.500  0.500  0.500
Sn  0.000  0.000  0.000
O  0.891  0.891  0.891
O  0.109  0.109  0.109


N(E_F) readings, ordered: 0.690; 1.874; 0.477 states/eV/atom